VASP calculation (PBE-GGA) on an optimized crystal structure of LaAgGe.

Properties
- Electronic total energy: -28.09 eV per cell
- Size of the total moment: 0.0 μB per cell

Cell lengths 4.4626, 4.4626, 7.3172 Å; angles 90.00, 90.00, 90.00 degrees
Closest atoms and distances in Å follow each position.
Space group P4/nmm (No. 129, origin choice 2)
Symmetry-distinct sites (fractional):
1 La 0.2500 0.2500 0.1800 [2 per cell]  5 Ge 3.20-3.21, 4 Ag 3.23
2 Ag 0.2500 0.7500 0.5000 [2 per cell]  4 Ge 2.85, 4 Ag 3.16
3 Ge 0.2500 0.2500 0.7424 [2 per cell]  4 Ag 2.85